[1]
Below is crystalline KBaU2O7 at its relaxed geometry, with properties calculated at the GGA-PBE level.

abc: 11.7808 11.7808 11.7808
angles: 158.71 158.71 30.29
Atoms (fractional coordinates):
K: 0.0000 0.0000 0.0000
Ba: 0.2500 0.7500 0.5000
U: 0.6530 0.1530 0.5000
U: 0.8470 0.3470 0.5000
O: 0.1641 0.1641 0.0000
O: 0.3340 0.3340 0.0000
O: 0.5690 0.0690 0.5000
O: 0.6660 0.6660 0.0000
O: 0.7500 0.2500 0.5000
O: 0.8359 0.8359 0.0000
O: 0.9310 0.4310 0.5000

## Properties
V = 215.4 Å³ per cell
SG = I-4m2, No. 119


[2]
Below is crystalline K2Ba2UO6 at its relaxed geometry, with properties calculated at the GGA-PBE level.

abc: 6.5754 6.5754 6.6730
angles: 97.85 97.85 118.38
Atoms (fractional coordinates):
K: 0.1520 0.8480 0.0000
K: 0.8480 0.1520 0.0000
Ba: 0.3376 0.6624 0.5000
Ba: 0.6624 0.3376 0.5000
U: 0.0000 0.0000 0.5000
O: 0.0390 0.3170 0.6749
O: 0.2045 0.2045 0.3113
O: 0.3170 0.0390 0.6749
O: 0.6830 0.9610 0.3251
O: 0.7955 0.7955 0.6887
O: 0.9610 0.6830 0.3251

## Properties
V = 244.6 Å³ per cell
SG = C2/m, No. 12


Energy relative to the elements, uncorrected, record by record: -3.012 -2.614 eV per atom